{
  "formula": "ScVCdF6",
  "functional": "PBE+U",
  "state": "optimized geometry",
  "crystal_system": "trigonal",
  "dft_energy_ev_per_cell": -103.20,
  "cell": [[-1.467, -1.462, -5.240], [4.997, -1.577, 2.071], [-4.456, -9.137, 3.797]],
  "species": ["F", "F", "F", "F", "F", "F", "F", "F", "F", "F", "F", "F", "Sc", "Sc", "Cd", "Cd", "V", "V"],
  "fractional_positions": [[0.989, 0.623, 0.351], [0.377, 0.011, 0.149], [0.366, 0.377, 0.851], [0.634, 0.011, 0.351], [0.011, 0.634, 0.851], [0.623, 0.634, 0.649], [0.634, 0.623, 0.149], [0.366, 0.989, 0.649], [0.377, 0.366, 0.351], [0.011, 0.377, 0.649], [0.623, 0.989, 0.851], [0.989, 0.366, 0.149], [0.667, 0.333, 0.250], [0.333, 0.667, 0.750], [0.000, 0.000, 0.500], [0.000, 0.000, 0.000], [0.667, 0.333, 0.750], [0.333, 0.667, 0.250]]
}